Material: Tc2Cl13
Method: DFT, PBE
State: optimized geometry

Cell: 6.5897 9.5024 9.9929 Å, 124.99 82.30 114.41°
Closest atoms and distances in Å follow each position.
Atoms (fractional coordinates):
Tc1 0.1532 0.1517 0.2949  5 Cl 2.24-2.32
Tc2 0.8468 0.8483 0.7051  5 Cl 2.24-2.32
Cl1 0.1607 0.4256 0.3562  1 Tc 2.29
Cl2 0.8640 0.1416 0.8027  1 Tc 2.32
Cl3 0.1360 0.8584 0.1973  1 Tc 2.32
Cl4 0.3325 0.4218 0.9642  1 Cl 2.02
Cl5 0.7861 0.0570 0.3390  1 Tc 2.29
Cl6 0.8393 0.5744 0.6438  1 Tc 2.29
Cl7 0.4936 0.7729 0.7798  1 Tc 2.29
Cl8 0.2139 0.9430 0.6610  1 Tc 2.29
Cl9 0.2839 0.2790 0.5526  1 Tc 2.24
Cl10 0.7161 0.7210 0.4474  1 Tc 2.24
Cl11 0.5064 0.2271 0.2202  1 Tc 2.29
Cl12 0.0000 0.0000 0.0000  2 Tc 2.55
Cl13 0.6675 0.5782 0.0358  1 Cl 2.02

Computed properties:
Calculated volume, Å³/atom: 30.82
Calculated total energy, eV per atom: -3.3950



Material: Tc3Cl2
Method: DFT, PBE
State: optimized geometry

Cell: 10.5178 10.5178 10.5178 Å, 15.87 15.87 15.87°
Closest atoms and distances in Å follow each position.
Atoms (fractional coordinates):
Cl1 0.3948 0.3948 0.3948  6 Tc 2.55-2.84
Cl2 0.6052 0.6052 0.6052  6 Tc 2.55-2.84
Tc1 0.0000 0.0000 0.0000  6 Cl 2.55
Tc2 0.1982 0.1982 0.1982  3 Tc 2.59, 3 Cl 2.84
Tc3 0.8018 0.8018 0.8018  3 Tc 2.59, 3 Cl 2.84

Computed properties:
Calculated volume, Å³/atom: 15.17
Calculated total energy, eV per atom: -6.5668



Material: Tc4Cl
Method: DFT, PBE
State: optimized geometry

Cell: 4.8393 4.8393 4.8393 Å, 98.97 98.97 133.48°
Closest atoms and distances in Å follow each position.
Atoms (fractional coordinates):
Tc1 0.5616 0.7970 0.3586  7 Tc 2.67-2.70, 2 Cl 2.70
Tc2 0.2030 0.5616 0.7646  7 Tc 2.67-2.70, 2 Cl 2.70
Tc3 0.4384 0.2030 0.6414  7 Tc 2.67-2.70, 2 Cl 2.70
Tc4 0.7970 0.4384 0.2354  7 Tc 2.67-2.70, 2 Cl 2.70
Cl1 0.0000 0.0000 0.0000  8 Tc 2.70

Computed properties:
Distance to the lowest polymorph of the same formula, meV/atom: 0.0
Calculated volume, Å³/atom: 15.11
Calculated total energy, eV per atom: -8.0246



Material: Tc3Cl
Method: DFT, PBE
State: optimized geometry

Cell: 8.6094 8.6094 8.6094 Å, 18.99 18.99 18.99°
Closest atoms and distances in Å follow each position.
Atoms (fractional coordinates):
Tc1 0.7491 0.7491 0.7491  3 Cl 2.66, 9 Tc 2.69-2.84
Tc2 0.2509 0.2509 0.2509  3 Cl 2.66, 9 Tc 2.69-2.84
Tc3 0.5000 0.5000 0.5000  12 Tc 2.69-2.84
Cl1 0.0000 0.0000 0.0000  6 Tc 2.66, 6 Cl 2.84

Computed properties:
Distance to the lowest polymorph of the same formula, meV/atom: 0.0
Calculated volume, Å³/atom: 14.77
Calculated total energy, eV per atom: -7.9641



> The lowest calculated volume belongs to which entry?

Tc3Cl



> What is the formula in the fourth record?

Tc3Cl



> Among the records above, which one has the highest calculated total energy?

Tc2Cl13



> Among the records above, which one has the lowest calculated total energy?

Tc4Cl